(1)
## Co3Re25B12 (GGA-PBE)

Data for crystalline Co3Re25B12 at its relaxed geometry.

Results
* crystal system: monoclinic
* total magnetic moment: 0.001 μB/f.u.
* energy relative to the elements: -0.23 eV/atom
* DFT total energy: -10.55 eV/atom
* SG: Pm
* density of states at the Fermi level: 0.49 states/eV per atom

Cell lengths 4.948, 7.439, 12.890 Å; angles 90.00, 90.04, 90.00 degrees
Element x y z (fractional)
Co  0.000  0.000  0.000
Co  0.004  0.500  0.500
Co  0.507  0.000  0.334
Re  0.176  0.500  0.291
Re  0.178  0.185  0.603
Re  0.178  0.314  0.106
Re  0.178  0.686  0.106
Re  0.178  0.815  0.603
Re  0.180  0.000  0.791
Re  0.469  0.000  0.124
Re  0.470  0.317  0.437
Re  0.470  0.683  0.437
Re  0.476  0.179  0.942
Re  0.476  0.500  0.617
Re  0.476  0.821  0.942
Re  0.520  0.500  0.833
Re  0.677  0.000  0.541
Re  0.677  0.314  0.230
Re  0.677  0.686  0.230
Re  0.678  0.183  0.727
Re  0.678  0.500  0.046
Re  0.678  0.817  0.727
Re  0.970  0.000  0.212
Re  0.970  0.182  0.394
Re  0.970  0.818  0.394
Re  0.973  0.314  0.895
Re  0.973  0.686  0.895
Re  0.976  0.500  0.709
B  0.271  0.286  0.761
B  0.271  0.714  0.761
B  0.272  0.500  0.976
B  0.281  0.000  0.470
B  0.281  0.208  0.265
B  0.281  0.792  0.265
B  0.780  0.207  0.071
B  0.780  0.500  0.361
B  0.780  0.793  0.071
B  0.781  0.290  0.568
B  0.781  0.710  0.568
B  0.782  0.000  0.861

=====

(2)
## TbSmIn3 (GGA-PBE)

Data for crystalline TbSmIn3 at its relaxed geometry.

Results
* crystal system: hexagonal
* total magnetic moment: 0.000 μB/f.u.
* energy relative to the elements: -0.20 eV/atom
* DFT total energy: -3.71 eV/atom
* SG: P6_3/mmc
* density of states at the Fermi level: 0.76 states/eV per atom

Cell lengths 7.319, 7.319, 6.467 Å; angles 90.00, 90.00, 120.00 degrees
Element x y z (fractional)
Tb  0.000  0.000  0.000
Tb  0.000  0.000  0.500
Sm  0.333  0.667  0.250
Sm  0.667  0.333  0.750
In  0.203  0.405  0.750
In  0.203  0.797  0.750
In  0.405  0.203  0.250
In  0.595  0.797  0.750
In  0.797  0.203  0.250
In  0.797  0.595  0.250

=====

(3)
## MgSnCl4 (GGA-PBE)

Data for crystalline MgSnCl4 at its relaxed geometry.

Results
* crystal system: tetragonal
* E_form (uncorrected): -30.37 kcal/mol of atoms
* total magnetic moment: 0.000 μB/f.u.
* DFT total energy: -3.48 eV/atom
* SG: I-4
* excess energy over the best structure of this formula in the dataset: 71 meV per atom
* density of states at the Fermi level: 0.00 states/eV per atom

Cell lengths 7.139, 7.139, 7.139 Å; angles 123.51, 123.51, 84.03 degrees
Element x y z (fractional)
Mg  0.000  0.000  0.000
Sn  0.750  0.250  0.500
Cl  0.083  0.668  0.992
Cl  0.332  0.324  0.415
Cl  0.676  0.090  0.008
Cl  0.910  0.917  0.585

=====

(4)
## MnSe2Cl (GGA-PBE)

Data for crystalline MnSe2Cl at its relaxed geometry.

Results
* crystal system: monoclinic
* E_form (uncorrected): 1.68 kcal/mol of atoms
* total magnetic moment: 4.611 μB/f.u.
* DFT total energy: -4.42 eV/atom
* SG: C2/m
* excess energy over the best structure of this formula in the dataset: 539 meV per atom
* density of states at the Fermi level: 0.67 states/eV per atom

Cell lengths 4.859, 4.859, 4.820 Å; angles 107.57, 107.57, 112.69 degrees
Element x y z (fractional)
Mn  0.000  0.000  0.000
Se  0.000  0.500  0.500
Se  0.500  0.000  0.500
Cl  0.500  0.500  0.000